The following is a GGA-PBE calculation of crystalline Ac2U3Al3 at its relaxed geometry, from OQMD via LeMat-Bulk.

Computed properties:
DFT total energy ... -0.21304 hartree per atom
Calculated density ... 8.20 g/cm3

Lattice parameters (Å, degrees): 3.883 3.883 16.779 90.00 90.00 90.00
Element x y z (fractional)
Al: 0.500 0.500 0.500
Ac: 0.000 0.500 0.667
Al: 0.500 0.500 0.000
U: 0.000 0.000 0.000
Ac: 0.500 0.000 0.333
U: 0.000 0.000 0.151
Al: 0.000 0.000 0.500
U: 0.000 0.000 0.849

The following is a GGA-PBE calculation of crystalline CsTl2Au at its relaxed geometry, from OQMD via LeMat-Bulk.

Computed properties:
DFT total energy ... -0.07750 hartree per atom
Calculated density ... 9.53 g/cm3

Lattice parameters (Å, degrees): 5.899 7.238 6.031 90.00 90.07 90.00
Element x y z (fractional)
Tl: 0.500 0.000 0.574
Au: 0.494 0.750 0.000
Cs: 0.000 0.000 0.011
Cs: 0.000 0.500 0.989
Tl: 0.958 0.250 0.500
Tl: 0.500 0.500 0.426
Au: 0.506 0.250 0.000
Tl: 0.042 0.750 0.500

The following is a GGA-PBE calculation of crystalline BeTePdO at its relaxed geometry, from OQMD via LeMat-Bulk.

Computed properties:
DFT total energy ... -0.17440 hartree per atom
Offset from the most stable computed form ... 935 meV per atom
Calculated density ... 6.40 g/cm3

Lattice parameters (Å, degrees): 3.741 3.741 9.610 90.00 90.00 90.00
Element x y z (fractional)
Pd: 0.750 0.250 0.000
O: 0.750 0.750 0.401
O: 0.250 0.250 0.599
Te: 0.750 0.750 0.801
Te: 0.250 0.250 0.199
Be: 0.250 0.250 0.450
Pd: 0.250 0.750 0.000
Be: 0.750 0.750 0.550

The following is a GGA-PBE calculation of crystalline CsNaUS3 at its relaxed geometry, from OQMD via LeMat-Bulk.

Computed properties:
DFT total energy ... -0.20518 hartree per atom
Calculated density ... 4.59 g/cm3

Lattice parameters (Å, degrees): 7.999 7.999 10.976 90.00 90.00 149.63
Element x y z (fractional)
S: 0.464 0.536 0.250
S: 0.113 0.887 0.478
Na: 0.933 0.067 0.750
U: 0.500 0.500 0.000
S: 0.887 0.113 0.978
S: 0.536 0.464 0.750
U: 0.500 0.500 0.500
S: 0.113 0.887 0.022
Na: 0.067 0.933 0.250
Cs: 0.220 0.780 0.750
Cs: 0.780 0.220 0.250
S: 0.887 0.113 0.522